Density functional theory data (PBE-GGA) for a relaxed structure of DySnAsO.

Properties
The energy is -47.86 eV/cell. The energy above the most stable polymorph in this dataset is 25 meV per atom.

Lattice parameters (Å, degrees): 4.0136 8.2378 6.1011 90.00 90.00 90.00
Space group Pmc2_1 (No. 26)
Symmetry-distinct sites (fractional):
Dy  0.0000  0.1643  0.0000 x2
Sn  0.5000  0.3752  0.6101 x2
As  0.0000  0.1799  0.4762 x2
O  0.5000  0.2414  0.9268 x2